(1)
Compound: VGa2H
Source: the Alexandria database
Functional: PBE-GGA
Structure: relaxed

The structure belongs to space group Fm-3m (No. 225); the cell edges are 6.0801, 6.0801 and 6.0801 Å and the angles 90.00°, 90.00° and 90.00°. Symmetry generates all atoms from V at (0.0000, 0.0000, 0.0000), Ga at (0.2500, 0.2500, 0.2500) and H at (0.0000, 0.0000, 0.5000).

The energy is -3.98 eV per atom. The calculation puts the density of states at the Fermi level at 0.7087 states/eV per atom. The offset from the most stable computed form is 768.3 meV/atom.

(2)
Compound: Mg4NiBi
Source: the Alexandria database
Functional: PBE-GGA
Structure: relaxed

The structure belongs to space group C2/m (No. 12); the cell edges are 14.9328, 7.1853 and 5.2636 Å and the angles 90.00°, 110.40° and 90.00°. Symmetry generates all atoms from Mg at (0.0000, 0.2116, 0.0000), Mg at (0.1189, 0.2577, 0.6184), Mg at (0.1617, 0.5000, 0.1603), Ni at (0.9997, 0.5000, 0.2774) and Bi at (0.1885, 0.0000, 0.1950).

The energy is -2.84 eV per atom. The calculation puts the density of states at the Fermi level at 0.3560 states/eV per atom. The formation enthalpy at 0 K is -0.162 eV per atom.